# 1
PrNd2PuS4 | PBE | optimized geometry

```
8
Lattice="-0.456 3.528 -1.912 -6.972 -0.472 0.792 2.739 3.353 5.532" Properties=species:S:1:pos:R:3 pbc="T T T"
Pr 0.000 0.000 0.000
Nd 1.142 3.440 1.810
Nd -2.116 1.440 3.162
Pu -3.714 1.528 -0.560
S -1.327 2.477 0.622
S -3.362 3.931 3.790
S 0.273 2.412 4.386
S -4.506 0.468 1.938
```

Values from the calculation:
Energy relative to the elements, uncorrected in eV per atom: -1.9698
Final energy in eV per cell: -60.92
Total moment in μB/f.u.: 5.73



# 2
PrNd2PuSb4 | PBE | optimized geometry

```
8
Lattice="4.514 0.000 0.000 0.000 7.808 0.135 0.000 -2.728 7.317" Properties=species:S:1:pos:R:3 pbc="T T T"
Pr 2.257 3.904 0.068
Nd 2.257 -1.364 3.658
Nd 0.000 2.540 3.726
Pu 0.000 0.000 0.000
Sb 2.257 1.235 1.828
Sb 2.257 3.844 5.625
Sb 0.000 -0.130 5.531
Sb 0.000 5.209 1.922
```

Values from the calculation:
Energy relative to the elements, uncorrected in eV per atom: -1.0319
Final energy in eV per cell: -53.39
Total moment in μB/f.u.: 5.02



# 3
Pr2NdPu3Se6 | PBE | optimized geometry

```
12
Lattice="4.193 0.000 0.000 0.000 8.393 0.328 -2.096 -2.388 8.833" Properties=species:S:1:pos:R:3 pbc="T T T"
Pr 2.096 3.984 6.114
Pr 0.000 2.021 3.047
Nd 2.096 0.000 0.000
Pu 2.096 4.197 0.164
Pu 2.096 -0.202 5.936
Pu 0.000 6.207 3.225
Se 0.000 6.158 6.160
Se 2.096 4.169 3.108
Se 2.096 -0.153 3.001
Se 2.096 -0.247 8.877
Se 0.000 6.252 0.284
Se 0.000 1.835 6.053
```

Values from the calculation:
Energy relative to the elements, uncorrected in eV per atom: -1.7005
Final energy in eV per cell: -98.64
Total moment in μB/f.u.: 5.64



# 4
PrNd2PuSe4 | PBE | optimized geometry

```
8
Lattice="-3.307 2.422 0.917 -3.398 -2.353 -6.044 -1.686 -4.415 5.583" Properties=species:S:1:pos:R:3 pbc="T T T"
Pr 0.000 0.000 0.000
Nd -2.497 -0.997 3.250
Nd -2.542 -3.384 -0.230
Pu -3.353 0.034 -2.563
Se -2.939 -0.488 0.312
Se -5.453 -3.858 0.144
Se -2.142 -3.933 2.664
Se -2.942 -2.836 -3.124
```

Values from the calculation:
Energy relative to the elements, uncorrected in eV per atom: -1.7757
Final energy in eV per cell: -56.79
Total moment in μB/f.u.: 5.86



# 5
PrNdPu2Se4 | PBE | optimized geometry

```
8
Lattice="4.185 0.000 0.000 0.000 7.299 -0.163 0.000 2.552 6.782" Properties=species:S:1:pos:R:3 pbc="T T T"
Pr 2.093 3.650 -0.082
Nd 0.000 4.926 3.309
Pu 0.000 2.552 6.782
Pu 2.093 1.276 3.391
Se 0.000 7.448 4.932
Se 4.185 2.403 1.686
Se 2.093 6.172 1.561
Se 2.093 3.679 5.058
```

Values from the calculation:
Energy relative to the elements, uncorrected in eV per atom: -1.7030
Final energy in eV per cell: -65.77
Total moment in μB/f.u.: 11.50



# 6
Pr3Nd3PuSe8 | PBE | optimized geometry

```
15
Lattice="-7.497 -3.863 -0.677 7.083 -4.111 -2.112 -1.623 1.723 8.136" Properties=species:S:1:pos:R:3 pbc="T T T"
Pr 0.000 0.000 0.000
Pr 3.542 -2.056 -1.056
Pr -0.207 -3.987 -1.395
Nd -4.560 -1.070 3.729
Nd -1.018 -3.126 2.673
Nd 2.730 -1.194 3.012
Pu -0.811 0.861 4.068
Se 1.264 -2.598 0.827
Se -3.300 -3.653 4.519
Se -2.483 -4.532 0.488
Se 0.447 -1.719 4.858
Se -6.030 -2.474 1.548
Se 3.994 -3.778 3.798
Se -2.276 -0.539 1.887
Se 0.240 -5.712 3.459
```

Values from the calculation:
Energy relative to the elements, uncorrected in eV per atom: -1.8254
Final energy in eV per cell: -98.23
Total moment in μB/f.u.: 6.25



# 7
Pr4Nd3PuSe8 | PBE | optimized geometry

```
16
Lattice="-5.807 5.945 1.659 -2.568 -4.400 6.779 8.154 2.150 -0.806" Properties=species:S:1:pos:R:3 pbc="T T T"
Pr -2.903 2.973 0.829
Pr 1.174 4.048 0.426
Pr 0.000 0.000 0.000
Pr 4.077 1.075 -0.403
Nd -4.187 0.773 4.219
Nd -0.110 1.848 3.816
Nd 2.793 -1.125 2.987
Pu -1.284 -2.200 3.390
Se 4.798 0.335 4.649
Se 0.675 -0.752 5.058
Se 1.986 1.458 1.727
Se 1.862 3.342 5.488
Se -2.082 0.354 2.144
Se -2.206 2.237 5.905
Se -0.895 4.447 2.573
Se -5.019 3.360 2.983
```

Values from the calculation:
Energy relative to the elements, uncorrected in eV per atom: -1.8098
Final energy in eV per cell: -104.59
Total moment in μB/f.u.: 5.78



# 8
Pr4NdPu3Se8 | PBE | optimized geometry

```
16
Lattice="-4.276 5.862 4.248 -7.189 -2.657 -3.569 4.885 -5.458 4.128" Properties=species:S:1:pos:R:3 pbc="T T T"
Pr -2.138 2.931 2.124
Pr 0.305 0.202 4.188
Pr 0.000 0.000 0.000
Pr 2.443 -2.729 2.064
Nd -3.594 -1.328 -1.785
Pu -5.732 1.603 0.340
Pu -3.290 -1.127 2.404
Pu -1.152 -4.058 0.279
Se -1.550 -5.931 2.509
Se -3.966 -3.231 0.466
Se -0.482 -1.975 2.240
Se -3.665 -3.031 4.610
Se -2.915 0.778 0.197
Se -6.098 -0.278 2.567
Se -2.613 0.978 4.341
Se -5.030 3.678 2.299
```

Values from the calculation:
Energy relative to the elements, uncorrected in eV per atom: -1.7419
Final energy in eV per cell: -122.63
Total moment in μB/f.u.: 17.32



# 9
Pr2Nd3Sm6Pu | PBE | optimized geometry

```
12
Lattice="6.319 -0.006 -0.013 -3.163 5.470 -0.013 -1.041 -1.802 11.832" Properties=species:S:1:pos:R:3 pbc="T T T"
Pr -0.002 3.645 -0.013
Pr 3.158 1.820 -0.013
Nd -2.106 3.658 5.903
Nd 4.221 0.004 5.903
Nd 1.058 1.831 5.903
Sm 3.152 1.861 8.884
Sm 2.121 3.672 2.910
Sm -1.037 1.802 2.923
Sm 0.036 3.661 8.884
Sm -0.006 -0.010 8.896
Sm 2.079 0.002 2.923
Pu 0.000 0.000 0.000
```

Values from the calculation:
Final energy in eV per cell: -65.89
Total moment in μB/f.u.: 6.61



# 10
PrNdPuSn | PBE | optimized geometry

```
4
Lattice="5.525 0.000 0.000 2.763 4.785 0.000 2.763 1.595 4.511" Properties=species:S:1:pos:R:3 pbc="T T T"
Pr 5.525 3.190 2.256
Nd 0.000 0.000 0.000
Sn 2.763 1.595 1.128
Pu 8.288 4.785 3.383
```

Values from the calculation:
Final energy in eV per cell: -28.60
Total moment in μB/f.u.: 6.73



# 11
Tb6Pr3Nd2Pu | PBE | optimized geometry

```
12
Lattice="6.266 -0.004 -0.008 -3.135 5.426 -0.008 -1.032 -1.786 11.670" Properties=species:S:1:pos:R:3 pbc="T T T"
Tb 3.127 1.849 8.785
Tb 2.104 3.644 2.860
Tb -1.028 1.786 2.868
Tb 0.038 3.632 8.785
Tb -0.005 -0.009 8.793
Tb 2.061 0.003 2.868
Pr -2.082 3.626 5.827
Pr 4.182 0.009 5.827
Pr 1.050 1.818 5.827
Nd -0.001 3.615 -0.008
Nd 3.132 1.806 -0.008
Pu 0.000 0.000 0.000
```

Values from the calculation:
Final energy in eV per cell: -65.44
Total moment in μB/f.u.: 6.50



# 12
PrNd3Pu2Te6 | PBE | optimized geometry

```
12
Lattice="4.466 0.000 0.000 0.000 8.991 0.308 -2.233 -2.605 9.426" Properties=species:S:1:pos:R:3 pbc="T T T"
Pr 2.233 0.000 0.000
Nd 2.233 4.495 0.154
Nd 2.233 -0.253 6.380
Nd 0.000 6.639 3.354
Pu 2.233 4.256 6.489
Pu 0.000 2.130 3.245
Te 0.000 6.464 6.535
Te 2.233 4.343 3.347
Te 2.233 -0.077 3.199
Te 0.000 2.264 0.124
Te 2.233 4.123 9.610
Te 0.000 2.043 6.387
```

Values from the calculation:
Energy relative to the elements, uncorrected in eV per atom: -1.3319
Final energy in eV per cell: -82.58
Total moment in μB/f.u.: 11.89



Please write out number 10 again, unchanged.
PrNdPuSn | PBE | optimized geometry

```
4
Lattice="5.525 0.000 0.000 2.763 4.785 0.000 2.763 1.595 4.511" Properties=species:S:1:pos:R:3 pbc="T T T"
Pr 5.525 3.190 2.256
Nd 0.000 0.000 0.000
Sn 2.763 1.595 1.128
Pu 8.288 4.785 3.383
```

Values from the calculation:
Final energy in eV per cell: -28.60
Total moment in μB/f.u.: 6.73